# 1
Entry from the Alexandria database: a relaxed BeAu5 crystal (PBE).

```
data_BeAu5
_chemical_formula_sum 'Be1 Au5'
_cell_length_a 2.924
_cell_length_b 2.924
_cell_length_c 11.542
_cell_angle_alpha 90.00
_cell_angle_beta 90.00
_cell_angle_gamma 90.00
_symmetry_space_group_name_H-M 'P 4/m m m'
_symmetry_Int_Tables_number 123
_symmetry_space_group_name_Hall '-P 4 2'
loop_
_atom_site_label
_atom_site_type_symbol
_atom_site_fract_x
_atom_site_fract_y
_atom_site_fract_z
Be1 Be 0.000 0.000 0.000
Au1 Au 0.000 0.000 0.316
Au2 Au 0.500 0.500 0.127
Au3 Au 0.500 0.500 0.500
```

DOS(E_F)   0.144 states/eV/atom
Energy   -3.420 eV/atom
Volume   99 Å³/cell
Total magnetization   0.0 Bohr magnetons per cell

# 2
Entry from the Alexandria database: a relaxed BeAu crystal (PBE).

```
data_BeAu
_chemical_formula_sum 'Be4 Au4'
_cell_length_a 2.914
_cell_length_b 12.045
_cell_length_c 3.128
_cell_angle_alpha 90.00
_cell_angle_beta 90.00
_cell_angle_gamma 90.00
_symmetry_space_group_name_H-M 'C m c m'
_symmetry_Int_Tables_number 63
_symmetry_space_group_name_Hall '-C 2c 2'
loop_
_atom_site_label
_atom_site_type_symbol
_atom_site_fract_x
_atom_site_fract_y
_atom_site_fract_z
Be1 Be 0.000 0.199 0.250
Au1 Au 0.000 0.398 0.250
```

DOS(E_F)   0.195 states/eV/atom
Energy   -3.589 eV/atom
Volume   110 Å³/cell
Total magnetization   0.0 Bohr magnetons per cell

# 3
Entry from the Alexandria database: a relaxed BeAu7 crystal (PBE).

```
data_BeAu7
_chemical_formula_sum 'Be4 Au28'
_cell_length_a 8.211
_cell_length_b 8.211
_cell_length_c 8.211
_cell_angle_alpha 90.00
_cell_angle_beta 90.00
_cell_angle_gamma 90.00
_symmetry_space_group_name_H-M 'F m -3 m'
_symmetry_Int_Tables_number 225
_symmetry_space_group_name_Hall '-F 4 2 3'
loop_
_atom_site_label
_atom_site_type_symbol
_atom_site_fract_x
_atom_site_fract_y
_atom_site_fract_z
Be1 Be 0.000 0.000 0.000
Au1 Au 0.000 0.000 0.500
Au2 Au 0.000 0.250 0.250
```

DOS(E_F)   0.485 states/eV/atom
Energy   -3.259 eV/atom
Volume   554 Å³/cell
Total magnetization   0.0 Bohr magnetons per cell

- Among the records above, which one has the lowest DOS(E_F)?
  BeAu5

- Which formula does entry 1 have?
  BeAu5

- What is the DOS(E_F) in the first record?
  0.144 states/eV/atom